# PBE LaSm4Al2, optimized geometry
# DOS at the Fermi energy = 15.8 states/eV/cell
# crystal system = trigonal
# density = 6.41 g cm⁻³
# ΔE_f = -190 meV per atom
# electronic total energy = -4.66 eV per atom
data_LaSm4Al2
_symmetry_space_group_name_H-M 'R -3 m'
_symmetry_Int_Tables_number 166
_symmetry_space_group_name_Hall '-R 3 2"'
_cell_length_a 5.4322
_cell_length_b 5.4322
_cell_length_c 24.1375
_cell_angle_alpha 90.00
_cell_angle_beta 90.00
_cell_angle_gamma 120.00
loop_
_atom_site_label
_atom_site_type_symbol
_atom_site_fract_x
_atom_site_fract_y
_atom_site_fract_z
La1 La 0.0000 0.0000 0.0000
Sm1 Sm 0.0000 0.0000 0.1541
Sm2 Sm 0.0000 0.0000 0.4164
Al1 Al 0.0000 0.0000 0.2808